Record 1
# SrSeIO2 PBE-GGA optimized geometry
data_SrSeIO2
_cell_length_a 4.348
_cell_length_b 4.348
_cell_length_c 5.428
_cell_angle_alpha 90.00
_cell_angle_beta 90.00
_cell_angle_gamma 90.00
_space_group_name_H-M_alt 'P 4/m m m'
_space_group_IT_number 123
_space_group_name_Hall '-P 4 2'
loop_
_atom_site_label
_atom_site_type_symbol
_atom_site_fract_x
_atom_site_fract_y
_atom_site_fract_z
Sr1 Sr 0.000 0.000 0.000
Se1 Se 0.500 0.500 0.500
I1 I 0.500 0.500 0.000
O1 O 0.000 0.500 0.500
# Total energy   -19.55 eV/cell
# Energy above the most stable polymorph in this dataset   0.000 eV/atom

Record 2
# Ti2Cu2Sb PBE-GGA optimized geometry
data_Ti2Cu2Sb
_cell_length_a 7.187
_cell_length_b 7.187
_cell_length_c 3.342
_cell_angle_alpha 90.00
_cell_angle_beta 90.00
_cell_angle_gamma 90.00
_space_group_name_H-M_alt 'P 4/m b m'
_space_group_IT_number 127
_space_group_name_Hall '-P 4 2ab'
loop_
_atom_site_label
_atom_site_type_symbol
_atom_site_fract_x
_atom_site_fract_y
_atom_site_fract_z
Ti1 Ti 0.153 0.347 0.000
Cu1 Cu 0.133 0.633 0.500
Sb1 Sb 0.000 0.000 0.000
# Total energy   -55.24 eV/cell
# Energy above the most stable polymorph in this dataset   0.232 eV/atom

Record 3
# NiCl2 PBE-GGA optimized geometry
data_NiCl2
_cell_length_a 6.2630
_cell_length_b 6.2630
_cell_length_c 4.3787
_cell_angle_alpha 90.00
_cell_angle_beta 90.00
_cell_angle_gamma 120.00
_space_group_name_H-M_alt 'P 63/m m c'
_space_group_IT_number 194
_space_group_name_Hall '-P 6c 2c'
loop_
_atom_site_label
_atom_site_type_symbol
_atom_site_fract_x
_atom_site_fract_y
_atom_site_fract_z
Ni1 Ni 0.3333 0.6667 0.2500
Cl1 Cl 0.0000 0.0000 0.0000
Cl2 Cl 0.3333 0.6667 0.7500
# Total energy   -17.63 eV/cell

Record 4
# AcGeRhO PBE-GGA optimized geometry
data_AcGeRhO
_cell_length_a 4.223
_cell_length_b 4.223
_cell_length_c 8.999
_cell_angle_alpha 90.00
_cell_angle_beta 90.00
_cell_angle_gamma 90.00
_space_group_name_H-M_alt 'P 4/n m m'
_space_group_IT_number 129
loop_
_space_group_symop_operation_xyz
'x,y,z'
'-x,-y,-z'
'-y+1/2,x,z'
'y+1/2,-x,-z'
'-x+1/2,-y+1/2,z'
'x+1/2,y+1/2,-z'
'y,-x+1/2,z'
'-y,x+1/2,-z'
'x+1/2,-y,-z'
'-x+1/2,y,z'
'-y,-x,-z'
'y,x,z'
'-x,y+1/2,-z'
'x,-y+1/2,z'
'y+1/2,x+1/2,-z'
'-y+1/2,-x+1/2,z'
loop_
_atom_site_label
_atom_site_type_symbol
_atom_site_fract_x
_atom_site_fract_y
_atom_site_fract_z
Ac1 Ac 0.250 0.250 0.142
Ge1 Ge 0.250 0.250 0.643
Rh1 Rh 0.250 0.750 0.500
O1 O 0.250 0.750 0.000
# Total energy   -57.19 eV/cell

Record 5
# Ho4CdAu5 PBE-GGA optimized geometry
data_Ho4CdAu5
_cell_length_a 3.552
_cell_length_b 3.552
_cell_length_c 17.757
_cell_angle_alpha 90.00
_cell_angle_beta 90.00
_cell_angle_gamma 90.00
_space_group_name_H-M_alt 'P 4/m m m'
_space_group_IT_number 123
_space_group_name_Hall '-P 4 2'
loop_
_atom_site_label
_atom_site_type_symbol
_atom_site_fract_x
_atom_site_fract_y
_atom_site_fract_z
Ho1 Ho 0.000 0.000 0.102
Ho2 Ho 0.000 0.000 0.309
Cd1 Cd 0.000 0.000 0.500
Au1 Au 0.500 0.500 0.000
Au2 Au 0.500 0.500 0.203
Au3 Au 0.500 0.500 0.402
# Total energy   -43.29 eV/cell
# ΔE_f   -768 meV/atom

Record 6
# Fe2CoSb PBE-GGA optimized geometry
data_Fe2CoSb
_cell_length_a 3.105
_cell_length_b 3.105
_cell_length_c 5.719
_cell_angle_alpha 90.00
_cell_angle_beta 90.00
_cell_angle_gamma 90.00
_space_group_name_H-M_alt 'P 4 m m'
_space_group_IT_number 99
loop_
_space_group_symop_operation_xyz
'x,y,z'
'-y,x,z'
'-x,-y,z'
'y,-x,z'
'-x,y,z'
'y,x,z'
'x,-y,z'
'-y,-x,z'
loop_
_atom_site_label
_atom_site_type_symbol
_atom_site_fract_x
_atom_site_fract_y
_atom_site_fract_z
Fe1 Fe 0.000 0.000 0.000
Fe2 Fe 0.500 0.500 0.229
Co1 Co 0.500 0.500 0.764
Sb1 Sb 0.000 0.000 0.496
# Total energy   -27.42 eV/cell

Record 7
# Tb5TmSc2 PBE-GGA optimized geometry
data_Tb5TmSc2
_cell_length_a 7.099
_cell_length_b 11.058
_cell_length_c 12.274
_cell_angle_alpha 90.00
_cell_angle_beta 90.00
_cell_angle_gamma 90.00
_space_group_name_H-M_alt 'F m m 2'
_space_group_IT_number 42
_space_group_name_Hall 'F 2 -2'
loop_
_atom_site_label
_atom_site_type_symbol
_atom_site_fract_x
_atom_site_fract_y
_atom_site_fract_z
Tb1 Tb 0.000 0.000 0.000
Tb2 Tb 0.250 0.000 0.245
Tb3 Tb 0.250 0.250 0.415
Tm1 Tm 0.000 0.000 0.499
Sc1 Sc 0.000 0.249 0.663
# Total energy   -160.27 eV/cell
# Energy above the most stable polymorph in this dataset   0.000 eV/atom
# ΔE_f   27 meV/atom

Record 8
# CePa4N5 PBE-GGA optimized geometry
data_CePa4N5
_cell_length_a 7.849
_cell_length_b 7.849
_cell_length_c 4.976
_cell_angle_alpha 90.00
_cell_angle_beta 90.00
_cell_angle_gamma 90.00
_space_group_name_H-M_alt 'I 4/m'
_space_group_IT_number 87
_space_group_name_Hall '-I 4'
loop_
_atom_site_label
_atom_site_type_symbol
_atom_site_fract_x
_atom_site_fract_y
_atom_site_fract_z
Ce1 Ce 0.000 0.000 0.000
Pa1 Pa 0.102 0.299 0.500
N1 N 0.000 0.000 0.500
N2 N 0.102 0.308 0.000
# Total energy   -203.66 eV/cell

Record 9
# CdAgBr4 PBE-GGA optimized geometry
data_CdAgBr4
_cell_length_a 6.863
_cell_length_b 4.154
_cell_length_c 14.691
_cell_angle_alpha 90.00
_cell_angle_beta 115.46
_cell_angle_gamma 90.00
_space_group_name_H-M_alt 'P 1 21/c 1'
_space_group_IT_number 14
loop_
_space_group_symop_operation_xyz
'x,y,z'
'-x,-y,-z'
'-x,y+1/2,-z+1/2'
'x,-y+1/2,z+1/2'
loop_
_atom_site_label
_atom_site_type_symbol
_atom_site_fract_x
_atom_site_fract_y
_atom_site_fract_z
Cd1 Cd 0.000 0.000 0.000
Ag1 Ag 0.500 0.000 0.500
Br1 Br 0.212 0.081 0.880
Br2 Br 0.289 0.502 0.115
# Total energy   -27.04 eV/cell
# Energy above the most stable polymorph in this dataset   0.000 eV/atom

Record 10
# DyHo5Sc2 PBE-GGA optimized geometry
data_DyHo5Sc2
_cell_length_a 7.075
_cell_length_b 10.986
_cell_length_c 12.226
_cell_angle_alpha 90.00
_cell_angle_beta 90.00
_cell_angle_gamma 90.00
_space_group_name_H-M_alt 'F m m 2'
_space_group_IT_number 42
_space_group_name_Hall 'F 2 -2'
loop_
_atom_site_label
_atom_site_type_symbol
_atom_site_fract_x
_atom_site_fract_y
_atom_site_fract_z
Dy1 Dy 0.000 0.000 0.000
Ho1 Ho 0.000 0.000 0.500
Ho2 Ho 0.250 0.000 0.253
Ho3 Ho 0.250 0.250 0.084
Sc1 Sc 0.000 0.250 0.336
# Total energy   -159.85 eV/cell
# Energy above the most stable polymorph in this dataset   0.000 eV/atom
# ΔE_f   24 meV/atom

Record 11
# Ho2CoSi4Ir3 PBE-GGA optimized geometry
data_Ho2CoSi4Ir3
_cell_length_a 4.067
_cell_length_b 4.067
_cell_length_c 9.888
_cell_angle_alpha 90.00
_cell_angle_beta 90.00
_cell_angle_gamma 90.00
_space_group_name_H-M_alt 'P -4 m 2'
_space_group_IT_number 115
loop_
_space_group_symop_operation_xyz
'x,y,z'
'y,-x,-z'
'-x,-y,z'
'-y,x,-z'
'-x,y,z'
'-y,-x,-z'
'x,-y,z'
'y,x,-z'
loop_
_atom_site_label
_atom_site_type_symbol
_atom_site_fract_x
_atom_site_fract_y
_atom_site_fract_z
Ho1 Ho 0.000 0.500 0.249
Co1 Co 0.500 0.500 0.000
Si1 Si 0.000 0.000 0.500
Si2 Si 0.000 0.500 0.873
Si3 Si 0.500 0.500 0.500
Ir1 Ir 0.000 0.000 0.000
Ir2 Ir 0.000 0.500 0.632
# Total energy   -74.21 eV/cell

Record 12
# TaTe4Br PBE-GGA optimized geometry
data_TaTe4Br
_cell_length_a 16.259
_cell_length_b 8.185
_cell_length_c 6.469
_cell_angle_alpha 90.00
_cell_angle_beta 92.74
_cell_angle_gamma 90.00
_space_group_name_H-M_alt 'C 1 2/m 1'
_space_group_IT_number 12
loop_
_space_group_symop_operation_xyz
'x,y,z'
'-x,-y,-z'
'-x,y,-z'
'x,-y,z'
'x+1/2,y+1/2,z'
'-x+1/2,-y+1/2,-z'
'-x+1/2,y+1/2,-z'
'x+1/2,-y+1/2,z'
loop_
_atom_site_label
_atom_site_type_symbol
_atom_site_fract_x
_atom_site_fract_y
_atom_site_fract_z
Ta1 Ta 0.014 0.000 0.239
Te1 Te 0.000 0.262 0.500
Te2 Te 0.102 0.219 0.974
Te3 Te 0.192 0.000 0.250
Br1 Br 0.216 0.500 0.355
# Total energy   -108.58 eV/cell